1.
{"formula": "Hf8Zr", "functional": "PBE", "state": "relaxed", "delta_e_f_ev_per_atom": 0.135, "de_polymorph_ev_per_atom": 0.071, "crystal_system": "tetragonal", "lattice": [[-5.6258, 5.6258, 1.5831], [5.6258, -5.6258, 1.5831], [5.6258, 5.6258, -1.5831]], "species": ["Hf", "Hf", "Hf", "Hf", "Hf", "Hf", "Hf", "Hf", "Zr"], "fractional_positions": [[0.0000, 0.3337, 0.3337], [0.0000, 0.6663, 0.6663], [0.3327, 0.3327, 0.6654], [0.3327, 0.6673, 0.0000], [0.3337, 0.0000, 0.3337], [0.6663, 0.0000, 0.6663], [0.6673, 0.3327, 0.0000], [0.6673, 0.6673, 0.3346], [0.0000, 0.0000, 0.0000]]}

---

2.
{"formula": "CoBrCl", "functional": "PBE", "state": "relaxed", "formation_energy_uncorrected_ev_per_atom": -0.414, "de_polymorph_ev_per_atom": 0.003, "crystal_system": "monoclinic", "lattice": [[7.7761, 0.0000, 0.0000], [0.0000, 6.3814, 0.0000], [-1.6771, 0.0000, 7.4335]], "species": ["Co", "Co", "Co", "Co", "Br", "Br", "Br", "Br", "Cl", "Cl", "Cl", "Cl"], "fractional_positions": [[0.1524, 0.1562, 0.2849], [0.1524, 0.3438, 0.7849], [0.8476, 0.6562, 0.2151], [0.8476, 0.8438, 0.7151], [0.3282, 0.2456, 0.5756], [0.3282, 0.2544, 0.0756], [0.6718, 0.7456, 0.9244], [0.6718, 0.7544, 0.4244], [0.1164, 0.6951, 0.7723], [0.1164, 0.8049, 0.2723], [0.8836, 0.1951, 0.7277], [0.8836, 0.3049, 0.2277]]}

---

3.
{"formula": "Pr4GeSe2", "functional": "PBE", "state": "relaxed", "formation_energy_uncorrected_ev_per_atom": -1.294, "de_polymorph_ev_per_atom": 0.000, "crystal_system": "orthorhombic", "lattice": [[2.1088, -6.8982, 0.0000], [2.1088, 6.8982, 0.0000], [0.0000, 0.0000, 14.2248]], "species": ["Pr", "Pr", "Pr", "Pr", "Pr", "Pr", "Pr", "Pr", "Ge", "Ge", "Se", "Se", "Se", "Se"], "fractional_positions": [[0.0000, 0.0000, 0.0000], [0.0000, 0.0000, 0.5000], [0.2813, 0.7187, 0.6270], [0.2813, 0.7187, 0.8730], [0.4489, 0.5511, 0.2500], [0.5511, 0.4489, 0.7500], [0.7187, 0.2813, 0.1270], [0.7187, 0.2813, 0.3730], [0.1037, 0.8963, 0.2500], [0.8963, 0.1037, 0.7500], [0.3598, 0.6402, 0.0635], [0.3598, 0.6402, 0.4365], [0.6402, 0.3598, 0.5635], [0.6402, 0.3598, 0.9365]]}

---

4.
{"formula": "Pm4Al12Rh", "functional": "PBE", "state": "relaxed", "delta_e_f_ev_per_atom": -0.546, "crystal_system": "cubic", "lattice": [[-4.3796, 4.3796, 4.3796], [4.3796, -4.3796, 4.3796], [4.3796, 4.3796, -4.3796]], "species": ["Pm", "Pm", "Pm", "Pm", "Al", "Al", "Al", "Al", "Al", "Al", "Al", "Al", "Al", "Al", "Al", "Al", "Rh"], "fractional_positions": [[0.0000, 0.0000, 0.5000], [0.0000, 0.5000, 0.0000], [0.5000, 0.0000, 0.0000], [0.5000, 0.5000, 0.5000], [0.0000, 0.2866, 0.2866], [0.0000, 0.7134, 0.7134], [0.2500, 0.5000, 0.7500], [0.2500, 0.7500, 0.5000], [0.2866, 0.0000, 0.2866], [0.2866, 0.2866, 0.0000], [0.5000, 0.2500, 0.7500], [0.5000, 0.7500, 0.2500], [0.7134, 0.0000, 0.7134], [0.7134, 0.7134, 0.0000], [0.7500, 0.2500, 0.5000], [0.7500, 0.5000, 0.2500], [0.0000, 0.0000, 0.0000]]}

---

5.
{"formula": "MgAl10Rh2", "functional": "PBE", "state": "relaxed", "delta_e_f_ev_per_atom": -0.395, "crystal_system": "orthorhombic", "lattice": [[4.5662, -5.0916, 0.0000], [4.5662, 5.0916, 0.0000], [0.0000, 0.0000, 9.0892]], "species": ["Mg", "Mg", "Al", "Al", "Al", "Al", "Al", "Al", "Al", "Al", "Al", "Al", "Al", "Al", "Al", "Al", "Al", "Al", "Al", "Al", "Al", "Al", "Rh", "Rh", "Rh", "Rh"], "fractional_positions": [[0.1282, 0.8718, 0.7500], [0.8718, 0.1282, 0.2500], [0.1470, 0.8530, 0.0997], [0.1470, 0.8530, 0.4003], [0.1505, 0.4245, 0.7500], [0.2249, 0.4787, 0.2500], [0.2258, 0.2258, 0.0000], [0.2258, 0.2258, 0.5000], [0.3751, 0.6249, 0.5461], [0.3751, 0.6249, 0.9539], [0.4245, 0.1505, 0.2500], [0.4787, 0.2249, 0.7500], [0.5213, 0.7751, 0.2500], [0.5755, 0.8495, 0.7500], [0.6249, 0.3751, 0.0461], [0.6249, 0.3751, 0.4539], [0.7742, 0.7742, 0.0000], [0.7742, 0.7742, 0.5000], [0.7751, 0.5213, 0.7500], [0.8495, 0.5755, 0.2500], [0.8530, 0.1470, 0.5997], [0.8530, 0.1470, 0.9003], [0.0000, 0.5000, 0.0000], [0.0000, 0.5000, 0.5000], [0.5000, 0.0000, 0.0000], [0.5000, 0.0000, 0.5000]]}

---

6.
{"formula": "Er4Al2Sn", "functional": "PBE", "state": "relaxed", "delta_e_f_ev_per_atom": -0.334, "crystal_system": "monoclinic", "lattice": [[5.4906, 0.0000, 0.0000], [0.0000, 6.4242, 0.0000], [-1.8878, 0.0000, 10.2333]], "species": ["Er", "Er", "Er", "Er", "Er", "Er", "Er", "Er", "Al", "Al", "Al", "Al", "Sn", "Sn"], "fractional_positions": [[0.1325, 0.2500, 0.1278], [0.2422, 0.7500, 0.4502], [0.3268, 0.0063, 0.7374], [0.3268, 0.4937, 0.7374], [0.6732, 0.5063, 0.2626], [0.6732, 0.9937, 0.2626], [0.7578, 0.2500, 0.5498], [0.8675, 0.7500, 0.8722], [0.2189, 0.2500, 0.4326], [0.4225, 0.7500, 0.9934], [0.5775, 0.2500, 0.0066], [0.7811, 0.7500, 0.5674], [0.1131, 0.7500, 0.1649], [0.8869, 0.2500, 0.8351]]}

---

7.
{"formula": "YPtW", "functional": "PBE", "state": "relaxed", "delta_e_f_ev_per_atom": -0.415, "crystal_system": "monoclinic", "lattice": [[3.3128, 0.0000, 0.0000], [0.0000, 3.3137, 0.0000], [-0.0393, 0.0000, 10.7275]], "species": ["Y", "Y", "Pt", "Pt", "W", "W"], "fractional_positions": [[0.0000, 0.0000, 0.0000], [0.0043, 0.0000, 0.3469], [0.5019, 0.5000, 0.1723], [0.5058, 0.5000, 0.5293], [0.0078, 0.0000, 0.6832], [0.4982, 0.5000, 0.8050]]}

---

8.
{"formula": "AgBrCl", "functional": "PBE", "state": "relaxed", "formation_energy_uncorrected_ev_per_atom": -0.250, "de_polymorph_ev_per_atom": 0.030, "crystal_system": "orthorhombic", "lattice": [[3.7451, 0.0000, 0.0000], [0.0000, 8.0197, 0.0000], [0.0000, 0.0000, 12.5479]], "species": ["Ag", "Ag", "Ag", "Ag", "Br", "Br", "Br", "Br", "Cl", "Cl", "Cl", "Cl"], "fractional_positions": [[0.0000, 0.0000, 0.0000], [0.0000, 0.5000, 0.5000], [0.5000, 0.0000, 0.5000], [0.5000, 0.5000, 0.0000], [0.0000, 0.0000, 0.6425], [0.0000, 0.5000, 0.1425], [0.5000, 0.0000, 0.1425], [0.5000, 0.5000, 0.6425], [0.0000, 0.0000, 0.3700], [0.0000, 0.5000, 0.8700], [0.5000, 0.0000, 0.8700], [0.5000, 0.5000, 0.3700]]}

---

9.
{"formula": "LiNbAlB2", "functional": "PBE", "state": "relaxed", "delta_e_f_ev_per_atom": 1.476, "crystal_system": "tetragonal", "lattice": [[4.0967, 0.0000, 0.0000], [0.0000, 4.0967, 0.0000], [0.0000, 0.0000, 4.6866]], "species": ["Li", "Nb", "Al", "B", "B"], "fractional_positions": [[0.0000, 0.0000, 0.0000], [0.5000, 0.5000, 0.0000], [0.5000, 0.5000, 0.5000], [0.0000, 0.5000, 0.5000], [0.5000, 0.0000, 0.5000]]}

---

10.
{"formula": "RbLiMgCl4", "functional": "PBE", "state": "relaxed", "formation_energy_uncorrected_ev_per_atom": -1.837, "crystal_system": "monoclinic", "lattice": [[6.5317, 0.0000, 0.0000], [0.0000, 7.1557, 0.0000], [-2.2897, 0.0000, 8.6322]], "species": ["Rb", "Rb", "Li", "Li", "Mg", "Mg", "Cl", "Cl", "Cl", "Cl", "Cl", "Cl", "Cl", "Cl"], "fractional_positions": [[0.2451, 0.2500, 0.0558], [0.7549, 0.7500, 0.9442], [0.1321, 0.2500, 0.4885], [0.8679, 0.7500, 0.5115], [0.2453, 0.7500, 0.3252], [0.7547, 0.2500, 0.6748], [0.0136, 0.0100, 0.6952], [0.0136, 0.4900, 0.6952], [0.3317, 0.7500, 0.0876], [0.4817, 0.2500, 0.4483], [0.5183, 0.7500, 0.5517], [0.6683, 0.2500, 0.9124], [0.9864, 0.5100, 0.3048], [0.9864, 0.9900, 0.3048]]}

---

11.
{"formula": "Ho8Tm6Sc", "functional": "PBE", "state": "relaxed", "delta_e_f_ev_per_atom": 0.126, "de_polymorph_ev_per_atom": 0.000, "crystal_system": "trigonal", "lattice": [[4.4519, 2.5703, 6.7484], [-4.4519, 2.5703, 6.7484], [0.0000, -5.1406, 6.7484]], "species": ["Ho", "Ho", "Ho", "Ho", "Ho", "Ho", "Ho", "Ho", "Tm", "Tm", "Tm", "Tm", "Tm", "Tm", "Sc"], "fractional_positions": [[0.0766, 0.0766, 0.0766], [0.2220, 0.6093, 0.2449], [0.2449, 0.2220, 0.6093], [0.3907, 0.7551, 0.7780], [0.6093, 0.2449, 0.2220], [0.7551, 0.7780, 0.3907], [0.7780, 0.3907, 0.7551], [0.9234, 0.9234, 0.9234], [0.0449, 0.6155, 0.7188], [0.2812, 0.9551, 0.3845], [0.3845, 0.2812, 0.9551], [0.6155, 0.7188, 0.0449], [0.7188, 0.0449, 0.6155], [0.9551, 0.3845, 0.2812], [0.5000, 0.5000, 0.5000]]}

---

12.
{"formula": "Ga3CuSn", "functional": "PBE", "state": "relaxed", "delta_e_f_ev_per_atom": 0.156, "de_polymorph_ev_per_atom": 0.000, "crystal_system": "cubic", "lattice": [[4.7619, 0.0000, 0.0000], [0.0000, 4.7619, 0.0000], [0.0000, 0.0000, 4.7619]], "species": ["Ga", "Ga", "Ga", "Cu", "Sn"], "fractional_positions": [[0.0000, 0.0000, 0.5000], [0.0000, 0.5000, 0.0000], [0.5000, 0.0000, 0.0000], [0.0000, 0.0000, 0.0000], [0.5000, 0.5000, 0.5000]]}

---

13.
{"formula": "Pu3HgO9", "functional": "PBE", "state": "relaxed", "formation_energy_uncorrected_ev_per_atom": -2.244, "crystal_system": "hexagonal", "lattice": [[7.9953, 0.0000, 0.0000], [-3.9976, 6.9241, 0.0000], [0.0000, 0.0000, 4.1165]], "species": ["Pu", "Pu", "Pu", "Hg", "O", "O", "O", "O", "O", "O", "O", "O", "O"], "fractional_positions": [[0.0000, 0.5000, 0.0000], [0.5000, 0.0000, 0.0000], [0.5000, 0.5000, 0.0000], [0.0000, 0.0000, 0.5000], [0.0000, 0.5000, 0.5000], [0.2109, 0.4218, 0.0000], [0.2109, 0.7891, 0.0000], [0.4218, 0.2109, 0.0000], [0.5000, 0.0000, 0.5000], [0.5000, 0.5000, 0.5000], [0.5782, 0.7891, 0.0000], [0.7891, 0.2109, 0.0000], [0.7891, 0.5782, 0.0000]]}

---

14.
{"formula": "Ba2PPb", "functional": "PBE", "state": "relaxed", "delta_e_f_ev_per_atom": -0.212, "de_polymorph_ev_per_atom": 0.410, "crystal_system": "tetragonal", "lattice": [[3.9757, 0.0000, 0.0000], [0.0000, 3.9757, 0.0000], [0.0000, 0.0000, 9.6329]], "species": ["Ba", "Ba", "P", "Pb"], "fractional_positions": [[0.0000, 0.0000, 0.0000], [0.5000, 0.5000, 0.4041], [0.0000, 0.0000, 0.6232], [0.5000, 0.5000, 0.7485]]}

---

15.
{"formula": "PtCl3", "functional": "PBE", "state": "relaxed", "formation_energy_uncorrected_ev_per_atom": 0.805, "crystal_system": "cubic", "lattice": [[6.6534, 0.0000, 0.0000], [0.0000, 6.6534, 0.0000], [0.0000, 0.0000, 6.6534]], "species": ["Pt", "Pt", "Pt", "Pt", "Cl", "Cl", "Cl", "Cl", "Cl", "Cl", "Cl", "Cl", "Cl", "Cl", "Cl", "Cl"], "fractional_positions": [[0.0000, 0.0000, 0.0000], [0.0000, 0.5000, 0.5000], [0.5000, 0.0000, 0.5000], [0.5000, 0.5000, 0.0000], [0.0000, 0.0000, 0.5000], [0.0000, 0.5000, 0.0000], [0.2500, 0.2500, 0.2500], [0.2500, 0.2500, 0.7500], [0.2500, 0.7500, 0.2500], [0.2500, 0.7500, 0.7500], [0.5000, 0.0000, 0.0000], [0.5000, 0.5000, 0.5000], [0.7500, 0.2500, 0.2500], [0.7500, 0.2500, 0.7500], [0.7500, 0.7500, 0.2500], [0.7500, 0.7500, 0.7500]]}

---

16.
{"formula": "Tm2BePt6", "functional": "PBE", "state": "relaxed", "delta_e_f_ev_per_atom": -1.085, "crystal_system": "monoclinic", "lattice": [[5.0961, -2.9659, 0.0000], [5.0961, 2.9659, 0.0000], [-3.3303, 0.0000, 4.9149]], "species": ["Tm", "Tm", "Be", "Pt", "Pt", "Pt", "Pt", "Pt", "Pt"], "fractional_positions": [[0.2498, 0.2498, 0.2453], [0.7502, 0.7502, 0.7547], [0.5000, 0.5000, 0.0000], [0.2368, 0.7591, 0.7365], [0.2391, 0.2391, 0.7349], [0.2409, 0.7632, 0.2635], [0.7591, 0.2368, 0.7365], [0.7609, 0.7609, 0.2651], [0.7632, 0.2409, 0.2635]]}

---

17.
{"formula": "YMgCu2", "functional": "PBE", "state": "relaxed", "delta_e_f_ev_per_atom": -0.055, "crystal_system": "monoclinic", "lattice": [[9.9954, 0.0000, 0.0000], [0.0000, 3.2188, 0.0000], [-1.5730, 0.0000, 4.6763]], "species": ["Y", "Y", "Mg", "Mg", "Cu", "Cu", "Cu", "Cu"], "fractional_positions": [[0.0000, 0.0000, 0.0000], [0.5000, 0.5000, 0.0000], [0.2108, 0.0000, 0.6476], [0.7108, 0.5000, 0.6476], [0.2614, 0.5000, 0.2155], [0.4584, 0.0000, 0.4775], [0.7614, 0.0000, 0.2155], [0.9584, 0.5000, 0.4775]]}

---

18.
{"formula": "YClO", "functional": "PBE", "state": "relaxed", "formation_energy_uncorrected_ev_per_atom": -2.913, "crystal_system": "monoclinic", "lattice": [[9.9016, 0.0000, 0.0000], [0.0000, 3.8534, 0.0000], [-1.8288, 0.0000, 6.5883]], "species": ["Y", "Y", "Y", "Y", "Cl", "Cl", "Cl", "Cl", "O", "O", "O", "O"], "fractional_positions": [[0.2062, 0.0000, 0.2912], [0.2938, 0.5000, 0.7088], [0.7062, 0.5000, 0.2912], [0.7938, 0.0000, 0.7088], [0.1128, 0.0000, 0.8500], [0.3872, 0.5000, 0.1500], [0.6128, 0.5000, 0.8500], [0.8872, 0.0000, 0.1500], [0.1563, 0.5000, 0.3998], [0.3437, 0.0000, 0.6002], [0.6563, 0.0000, 0.3998], [0.8437, 0.5000, 0.6002]]}

---

19.
{"formula": "PrNd4Dy7", "functional": "PBE", "state": "relaxed", "delta_e_f_ev_per_atom": 0.084, "de_polymorph_ev_per_atom": 0.000, "crystal_system": "triclinic", "lattice": [[6.6093, 0.0000, 0.0000], [0.9962, 6.8266, 0.0000], [2.0506, 0.5155, 8.8893]], "species": ["Pr", "Nd", "Nd", "Nd", "Nd", "Dy", "Dy", "Dy", "Dy", "Dy", "Dy", "Dy"], "fractional_positions": [[0.0000, 0.0000, 0.0000], [0.1656, 0.6099, 0.3108], [0.3606, 0.1948, 0.7141], [0.6394, 0.8052, 0.2859], [0.8344, 0.3901, 0.6892], [0.0000, 0.5000, 0.0000], [0.1897, 0.1024, 0.3851], [0.3177, 0.7003, 0.6424], [0.4861, 0.2505, 0.0502], [0.5139, 0.7495, 0.9498], [0.6823, 0.2997, 0.3576], [0.8103, 0.8976, 0.6149]]}

---

20.
{"formula": "SrRu2Cl", "functional": "PBE", "state": "relaxed", "formation_energy_uncorrected_ev_per_atom": 1.147, "de_polymorph_ev_per_atom": 1.255, "crystal_system": "cubic", "lattice": [[6.7848, 0.0000, 0.0000], [0.0000, 6.7848, 0.0000], [0.0000, 0.0000, 6.7848]], "species": ["Sr", "Sr", "Sr", "Sr", "Ru", "Ru", "Ru", "Ru", "Ru", "Ru", "Ru", "Ru", "Cl", "Cl", "Cl", "Cl"], "fractional_positions": [[0.0000, 0.0000, 0.0000], [0.0000, 0.5000, 0.5000], [0.5000, 0.0000, 0.5000], [0.5000, 0.5000, 0.0000], [0.2500, 0.2500, 0.2500], [0.2500, 0.2500, 0.7500], [0.2500, 0.7500, 0.2500], [0.2500, 0.7500, 0.7500], [0.7500, 0.2500, 0.2500], [0.7500, 0.2500, 0.7500], [0.7500, 0.7500, 0.2500], [0.7500, 0.7500, 0.7500], [0.0000, 0.0000, 0.5000], [0.0000, 0.5000, 0.0000], [0.5000, 0.0000, 0.0000], [0.5000, 0.5000, 0.5000]]}

---

no.,mass density (g cm⁻³)
1,12.586
2,3.138
3,6.373
4,4.975
5,3.928
6,7.744
7,13.194
8,3.934
9,3.134
10,2.128
11,8.523
12,6.020
13,7.845
14,5.593
15,6.798
16,16.959
17,5.304
18,3.709
19,7.682
20,6.916